[1]
K3PaCl7 PBE-GGA relaxed; ρ = 2.7 g/cm3; crystal system = monoclinic; density of states at the Fermi level = 0.73 states/eV/cell; energy relative to the elements, uncorrected = -21.4 eV per formula unit; symmetry = Cm (8)
1.0
-1.283 -4.448 -5.799
5.193 -4.883 2.060
-2.779 -7.489 1.875
K Pa Cl
3 1 7
Cartesian
-1.136 -8.221 -3.102
-0.580 -11.550 -0.161
2.375 -8.457 1.159
3.614 -9.194 -3.487
0.068 -2.490 -0.194
-0.695 -4.987 -3.022
-1.666 -11.433 -3.671
2.557 -5.205 0.924
1.378 -9.207 -1.645
2.656 -11.724 1.573
0.792 -13.998 -1.427

[2]
KPa2Cl8 PBE-GGA relaxed; ρ = 3.9 g/cm3; crystal system = monoclinic; E above lowest polymorph = 0.000 eV per atom; density of states at the Fermi level = 7.50 states/eV/cell; energy relative to the elements, uncorrected = -19.7 eV per formula unit; symmetry = C2/m (12)
1.0
8.965 1.507 1.143
2.009 6.906 1.233
2.009 3.047 6.319
K Pa Cl
1 2 8
Cartesian
0.000 0.000 0.000
8.582 9.422 7.149
4.400 2.037 1.546
4.849 4.723 5.617
8.133 4.778 5.658
6.488 8.003 6.072
6.494 3.456 2.622
4.849 6.682 3.037
8.133 6.736 3.078
10.420 7.957 6.037
2.562 3.502 2.657

[3]
K3Pa2S5Cl2 PBE-GGA relaxed; ρ = 3.6 g/cm3; crystal system = tetragonal; density of states at the Fermi level = 9.13 states/eV/cell; energy relative to the elements, uncorrected = -19.9 eV per formula unit; symmetry = I4/mmm (139)
1.0
-1.935 4.391 2.254
-4.722 -2.351 0.525
6.924 -5.572 10.564
K Pa S Cl
3 2 5 2
Cartesian
1.285 -1.627 4.273
-1.018 -1.904 9.071
0.000 0.000 0.000
2.885 -3.652 9.591
-2.618 0.121 3.752
-0.238 1.272 3.553
0.504 -4.803 9.790
-1.631 -2.099 2.689
1.898 -1.432 10.654
-3.329 1.020 1.390
-1.875 -0.819 6.221
2.142 -2.712 7.122